No. 1
Density functional theory data (GGA-PBE) for a geometry-optimized Ta2ZnB structure.

Lattice parameters (Å, degrees): 3.1960 3.1960 13.7802 90.00 90.00 120.00
Last column: nearest neighbours and their distance in Å.
Fractional positions:
Ta: 0.3333 0.6667 0.0903  3 B 2.23
Ta: 0.3333 0.6667 0.4097  3 B 2.23
Ta: 0.6667 0.3333 0.5903  3 B 2.23
Ta: 0.6667 0.3333 0.9097  3 B 2.23
Zn: 0.3333 0.6667 0.7500  6 Ta 2.87, 6 Zn 3.20
Zn: 0.6667 0.3333 0.2500  6 Ta 2.87, 6 Zn 3.20
B: 0.0000 0.0000 0.0000  6 Ta 2.23
B: 0.0000 0.0000 0.5000  6 Ta 2.23

Calculated values
Energy above the most stable polymorph in this dataset (meV/atom): 0.0
Space-group type: P6_3/mmc (194)


No. 2
Density functional theory data (GGA-PBE) for a geometry-optimized Ta4ZnB3 structure.

Lattice parameters (Å, degrees): 3.2613 3.2613 23.8371 90.00 90.00 120.00
Last column: nearest neighbours and their distance in Å.
Fractional positions:
Ta: 0.0000 0.0000 0.1612  3 B 2.22
Ta: 0.0000 0.0000 0.3388  3 B 2.22
Ta: 0.0000 0.0000 0.6612  3 B 2.22
Ta: 0.0000 0.0000 0.8388  3 B 2.22
Ta: 0.3333 0.6667 0.0539  6 B 2.28-2.34
Ta: 0.3333 0.6667 0.4461  6 B 2.28-2.34
Ta: 0.6667 0.3333 0.5539  6 B 2.28-2.34
Ta: 0.6667 0.3333 0.9461  6 B 2.28-2.34
Zn: 0.3333 0.6667 0.2500  6 Ta 2.83
Zn: 0.6667 0.3333 0.7500  6 Ta 2.83
B: 0.0000 0.0000 0.0000  6 Ta 2.28
B: 0.0000 0.0000 0.5000  6 Ta 2.28
B: 0.3333 0.6667 0.6120  6 Ta 2.22-2.34
B: 0.3333 0.6667 0.8880  6 Ta 2.22-2.34
B: 0.6667 0.3333 0.1120  6 Ta 2.22-2.34
B: 0.6667 0.3333 0.3880  6 Ta 2.22-2.34

Calculated values
Total energy (eV per atom): -9.0362
Space-group type: P6_3/mmc (194)


No. 3
Density functional theory data (GGA-PBE) for a geometry-optimized TaZnB4 structure.

Lattice parameters (Å, degrees): 4.6221 4.6221 4.6221 141.64 111.25 81.58
Last column: nearest neighbours and their distance in Å.
Fractional positions:
Ta: 0.0000 0.0000 0.0000  12 B 2.47
Zn: 0.5000 0.5000 0.0000  12 B 2.46-2.48
B: 0.0825 0.7489 0.3337  3 B 1.74-1.75
B: 0.4152 0.7489 0.6663  3 B 1.74-1.75
B: 0.5848 0.2511 0.3337  3 B 1.74-1.75
B: 0.9175 0.2511 0.6663  3 B 1.74-1.75

Calculated values
Energy above the most stable polymorph in this dataset (meV/atom): 18.2
Space-group type: Immm (71)


| no. | magnetic moment (μB/cell) |
| --- | --- |
| 1 | 0.01 |
| 2 | 0.05 |
| 3 | 0.00 |